(1)
Entry from Alexandria: PaSeF4 after structural relaxation (PBE).

- calculated volume (Å³ per atom) = 18.134
- symmetry = Pmma, No. 51
- total magnetization (μB/f.u.) = 0.0
- energy relative to the elements, uncorrected (eV/atom) = -2.921

Cell: 3.578 8.215 7.403 Å, 90.00 90.00 90.00°
Fractional positions:
Pa (0.000, 0.161, 0.750)
Pa (0.000, 0.839, 0.250)
Se (0.000, 0.509, 0.750)
Se (0.000, 0.491, 0.250)
F (0.000, 0.000, 0.500)
F (0.000, 0.000, 0.000)
F (0.500, 0.982, 0.750)
F (0.500, 0.018, 0.250)
F (0.500, 0.761, 0.075)
F (0.500, 0.239, 0.925)
F (0.500, 0.761, 0.425)
F (0.500, 0.239, 0.575)

***

(2)
Entry from Alexandria: Mo3RuRh3 after structural relaxation (PBE).

- calculated volume (Å³ per atom) = 15.611
- symmetry = P2_13, No. 198
- energy of formation (eV/atom) = 0.21
- total magnetization (μB/f.u.) = 0.0

Cell: 7.589 7.589 7.589 Å, 90.00 90.00 90.00°
Fractional positions:
Mo (0.718, 0.623, 0.938)
Mo (0.877, 0.062, 0.218)
Mo (0.938, 0.718, 0.623)
Mo (0.123, 0.562, 0.282)
Mo (0.282, 0.123, 0.562)
Mo (0.218, 0.877, 0.062)
Mo (0.062, 0.218, 0.877)
Mo (0.377, 0.438, 0.782)
Mo (0.562, 0.282, 0.123)
Mo (0.623, 0.938, 0.718)
Mo (0.782, 0.377, 0.438)
Mo (0.438, 0.782, 0.377)
Ru (0.084, 0.584, 0.916)
Ru (0.916, 0.084, 0.584)
Ru (0.416, 0.416, 0.416)
Ru (0.584, 0.916, 0.084)
Rh (0.885, 0.385, 0.115)
Rh (0.911, 0.911, 0.911)
Rh (0.787, 0.713, 0.287)
Rh (0.115, 0.885, 0.385)
Rh (0.213, 0.213, 0.213)
Rh (0.287, 0.787, 0.713)
Rh (0.089, 0.411, 0.589)
Rh (0.385, 0.115, 0.885)
Rh (0.713, 0.287, 0.787)
Rh (0.615, 0.615, 0.615)
Rh (0.589, 0.089, 0.411)
Rh (0.411, 0.589, 0.089)

***

(3)
Entry from Alexandria: Pa2TlCl11 after structural relaxation (PBE).

- calculated volume (Å³ per atom) = 38.875
- symmetry = Ibam, No. 72
- total magnetization (μB/f.u.) = 0.0
- energy relative to the elements, uncorrected (eV/atom) = -1.729

Cell: 12.408 11.263 11.263 Å, 67.24 56.58 56.58°
Fractional positions:
Pa (0.660, 0.654, 0.346)
Pa (0.340, 0.346, 0.654)
Pa (0.840, 0.154, 0.846)
Pa (0.160, 0.846, 0.154)
Tl (0.750, 0.750, 0.750)
Tl (0.250, 0.250, 0.250)
Cl (0.633, 0.678, 0.578)
Cl (0.367, 0.322, 0.422)
Cl (0.112, 0.578, 0.678)
Cl (0.867, 0.922, 0.822)
Cl (0.888, 0.422, 0.322)
Cl (0.133, 0.078, 0.178)
Cl (0.388, 0.822, 0.922)
Cl (0.612, 0.178, 0.078)
Cl (0.500, 0.500, 0.500)
Cl (0.000, 0.000, 0.000)
Cl (0.802, 0.794, 0.206)
Cl (0.198, 0.206, 0.794)
Cl (0.698, 0.294, 0.706)
Cl (0.302, 0.706, 0.294)
Cl (0.430, 0.885, 0.372)
Cl (0.570, 0.115, 0.628)
Cl (0.313, 0.372, 0.885)
Cl (0.070, 0.128, 0.615)
Cl (0.687, 0.628, 0.115)
Cl (0.930, 0.872, 0.385)
Cl (0.187, 0.615, 0.128)
Cl (0.813, 0.385, 0.872)

***

(4)
Entry from Alexandria: RbBe2ZnF8 after structural relaxation (PBE).

- calculated volume (Å³ per atom) = 13.888
- symmetry = R-3, No. 148
- total magnetization (μB/f.u.) = 1.1
- energy relative to the elements, uncorrected (eV/atom) = -2.680

Cell: 5.021 5.021 8.166 Å, 72.10 72.10 60.00°
Fractional positions:
Rb (0.500, 0.500, 0.500)
Be (0.262, 0.262, 0.214)
Be (0.738, 0.738, 0.786)
Zn (0.000, 0.000, 0.000)
F (0.195, 0.195, 0.416)
F (0.600, 0.239, 0.155)
F (0.805, 0.805, 0.584)
F (0.007, 0.600, 0.155)
F (0.993, 0.400, 0.845)
F (0.239, 0.007, 0.155)
F (0.761, 0.993, 0.845)
F (0.400, 0.761, 0.845)

***

(5)
Entry from Alexandria: AsP2Br after structural relaxation (PBE).

- calculated volume (Å³ per atom) = 21.815
- symmetry = P4/mmm, No. 123
- polymorph energy (0 for the lowest one) (meV per atom) = 736.1
- total magnetization (μB/f.u.) = 0.0
- energy relative to the elements, uncorrected (eV/atom) = 0.833

Cell: 6.590 3.639 3.639 Å, 90.00 90.00 90.00°
Fractional positions:
As (0.500, 0.500, 0.000)
Br (0.500, 0.000, 0.500)
P (0.000, 0.000, 0.000)
P (0.000, 0.500, 0.500)

***

(6)
Entry from Alexandria: AcTeF after structural relaxation (PBE).

- calculated volume (Å³ per atom) = 26.818
- symmetry = P-6m2, No. 187
- polymorph energy (0 for the lowest one) (meV per atom) = 0.0
- total magnetization (μB/f.u.) = 0.0
- energy relative to the elements, uncorrected (eV/atom) = -2.804

Cell: 4.671 4.460 4.460 Å, 120.00 90.00 90.00°
Fractional positions:
Ac (0.167, 0.667, 0.333)
Te (0.667, 0.333, 0.667)
F (0.167, 0.000, 0.000)

***

(7)
Entry from Alexandria: Mn2MoPt after structural relaxation (PBE).

- calculated volume (Å³ per atom) = 13.687
- symmetry = Cmmm, No. 65
- energy of formation (eV/atom) = 0.02
- total magnetization (μB/f.u.) = 3.0

Cell: 4.618 4.618 2.688 Å, 90.00 90.00 107.21°
Fractional positions:
Mn (0.000, 0.000, 0.000)
Mn (0.500, 0.500, 0.000)
Mo (0.500, 0.000, 0.500)
Pt (0.000, 0.500, 0.500)

***

(8)
Entry from Alexandria: P2PbBr after structural relaxation (PBE).

- calculated volume (Å³ per atom) = 25.645
- symmetry = R3m, No. 160
- polymorph energy (0 for the lowest one) (meV per atom) = 71.7
- total magnetization (μB/f.u.) = 0.0
- energy relative to the elements, uncorrected (eV/atom) = -0.059

Cell: 10.051 10.051 10.051 Å, 19.87 19.87 19.87°
Fractional positions:
Br (0.752, 0.752, 0.752)
P (0.980, 0.980, 0.980)
P (0.273, 0.273, 0.273)
Pb (0.495, 0.495, 0.495)

***

(9)
Entry from Alexandria: PmGaAu after structural relaxation (PBE).

- calculated volume (Å³ per atom) = 23.209
- symmetry = Fdd2, No. 43
- polymorph energy (0 for the lowest one) (meV per atom) = 229.7
- energy of formation (eV/atom) = -0.55
- total magnetization (μB/f.u.) = 0.0

Cell: 5.243 5.243 6.331 Å, 102.81 102.81 117.67°
Fractional positions:
Ga (0.060, 0.940, 0.500)
Ga (0.310, 0.690, 0.000)
Au (0.376, 0.624, 0.500)
Au (0.626, 0.374, 0.000)
Pm (0.970, 0.030, 0.000)
Pm (0.720, 0.280, 0.500)

***

(10)
Entry from Alexandria: Y2ScPaS4 after structural relaxation (PBE).

- calculated volume (Å³ per atom) = 20.348
- symmetry = P2/m, No. 10
- total magnetization (μB/f.u.) = 0.0
- energy relative to the elements, uncorrected (eV/atom) = -1.834

Cell: 3.834 6.710 6.691 Å, 108.97 90.00 90.00°
Fractional positions:
Y (0.500, 0.000, 0.500)
Y (0.000, 0.500, 0.500)
Sc (0.000, 0.000, 0.000)
Pa (0.500, 0.500, 0.000)
S (0.500, 0.239, 0.239)
S (0.500, 0.761, 0.761)
S (0.000, 0.242, 0.754)
S (0.000, 0.758, 0.246)

***

(11)
Entry from Alexandria: PrHoCd5 after structural relaxation (PBE).

- calculated volume (Å³ per atom) = 27.331
- symmetry = Cmmm, No. 65
- energy of formation (eV/atom) = -0.11
- total magnetization (μB/f.u.) = 0.0

Cell: 4.653 4.653 8.838 Å, 89.99 89.99 89.87°
Fractional positions:
Pr (0.000, 0.000, 0.000)
Ho (0.500, 0.500, 0.500)
Cd (0.500, 0.000, 0.256)
Cd (0.000, 0.500, 0.256)
Cd (0.000, 0.000, 0.500)
Cd (0.000, 0.500, 0.744)
Cd (0.500, 0.000, 0.744)

***

(12)
Entry from Alexandria: PaAlCuRe after structural relaxation (PBE).

- calculated volume (Å³ per atom) = 17.662
- symmetry = F-43m, No. 216
- energy of formation (eV/atom) = 0.00
- total magnetization (μB/f.u.) = 0.0

Cell: 4.640 4.640 4.640 Å, 60.00 60.00 60.00°
Fractional positions:
Re (0.750, 0.750, 0.750)
Pa (0.500, 0.500, 0.500)
Al (0.000, 0.000, 0.000)
Cu (0.250, 0.250, 0.250)

***

(13)
Entry from Alexandria: BiMoAs2Se after structural relaxation (PBE).

- calculated volume (Å³ per atom) = 24.748
- symmetry = P4/mmm, No. 123
- polymorph energy (0 for the lowest one) (meV per atom) = 0.0
- total magnetization (μB/f.u.) = 0.6
- energy relative to the elements, uncorrected (eV/atom) = 0.377

Cell: 4.807 4.807 5.354 Å, 90.00 90.00 90.00°
Fractional positions:
As (0.000, 0.500, 0.000)
As (0.500, 0.000, 0.000)
Mo (0.000, 0.000, 0.000)
Bi (0.500, 0.500, 0.500)
Se (0.000, 0.000, 0.500)

***

(14)
Entry from Alexandria: MgAl2W after structural relaxation (PBE).

- calculated volume (Å³ per atom) = 15.877
- symmetry = I4/mmm, No. 139
- energy of formation (eV/atom) = -0.02
- total magnetization (μB/f.u.) = 0.0

Cell: 4.981 4.981 4.980 Å, 133.68 133.68 67.60°
Fractional positions:
Al (0.000, 0.000, 0.000)
Al (0.500, 0.500, 0.000)
Mg (0.250, 0.750, 0.500)
W (0.750, 0.250, 0.500)

***

(15)
Entry from Alexandria: AcLa2Pd after structural relaxation (PBE).

- calculated volume (Å³ per atom) = 32.956
- symmetry = P2_1/m, No. 11
- polymorph energy (0 for the lowest one) (meV per atom) = 4.5
- energy of formation (eV/atom) = -0.42
- total magnetization (μB/f.u.) = 0.0

Cell: 4.015 6.583 10.472 Å, 90.00 90.00 107.72°
Fractional positions:
Ac (0.920, 0.841, 0.250)
Ac (0.080, 0.159, 0.750)
La (0.363, 0.724, 0.559)
La (0.637, 0.276, 0.441)
La (0.363, 0.724, 0.941)
La (0.637, 0.276, 0.059)
Pd (0.781, 0.561, 0.750)
Pd (0.219, 0.439, 0.250)

***

(16)
Entry from Alexandria: RbGa2Cl8 after structural relaxation (PBE).

- calculated volume (Å³ per atom) = 36.361
- symmetry = C2/m, No. 12
- total magnetization (μB/f.u.) = 1.1
- energy relative to the elements, uncorrected (eV/atom) = -1.135

Cell: 7.744 8.142 8.142 Å, 56.42 71.81 71.81°
Fractional positions:
Rb (0.000, 0.000, 0.000)
Ga (0.660, 0.821, 0.821)
Ga (0.340, 0.179, 0.179)
Cl (0.305, 0.321, 0.864)
Cl (0.695, 0.136, 0.679)
Cl (0.392, 0.804, 0.804)
Cl (0.608, 0.196, 0.196)
Cl (0.305, 0.864, 0.321)
Cl (0.695, 0.679, 0.136)
Cl (0.890, 0.677, 0.677)
Cl (0.110, 0.323, 0.323)

***

(17)
Entry from Alexandria: TbCeUO6 after structural relaxation (PBE).

- calculated volume (Å³ per atom) = 15.623
- symmetry = P-31c, No. 163
- total magnetization (μB/f.u.) = 1.0
- energy relative to the elements, uncorrected (eV/atom) = -3.332

Cell: 5.831 5.831 9.549 Å, 90.00 90.00 120.00°
Fractional positions:
Tb (0.333, 0.667, 0.250)
Tb (0.667, 0.333, 0.750)
Ce (0.000, 0.000, 0.000)
Ce (0.000, 0.000, 0.500)
U (0.667, 0.333, 0.250)
U (0.333, 0.667, 0.750)
O (0.667, 0.645, 0.134)
O (0.978, 0.333, 0.134)
O (0.333, 0.978, 0.634)
O (0.022, 0.667, 0.866)
O (0.355, 0.333, 0.366)
O (0.978, 0.645, 0.366)
O (0.645, 0.978, 0.866)
O (0.667, 0.022, 0.366)
O (0.022, 0.355, 0.634)
O (0.355, 0.022, 0.134)
O (0.645, 0.667, 0.634)
O (0.333, 0.355, 0.866)

***

(18)
Entry from Alexandria: SrCaOs2 after structural relaxation (PBE).

- calculated volume (Å³ per atom) = 24.574
- symmetry = P4/mmm, No. 123
- polymorph energy (0 for the lowest one) (meV per atom) = 496.7
- energy of formation (eV/atom) = 0.89
- total magnetization (μB/f.u.) = 0.6

Cell: 3.860 3.860 6.596 Å, 90.00 90.00 90.00°
Fractional positions:
Sr (0.500, 0.500, 0.250)
Ca (0.500, 0.500, 0.750)
Os (0.000, 0.000, 0.926)
Os (0.000, 0.000, 0.574)

***

(19)
Entry from Alexandria: MnCdIN2 after structural relaxation (PBE).

- calculated volume (Å³ per atom) = 23.876
- symmetry = P4/mmm, No. 123
- polymorph energy (0 for the lowest one) (meV per atom) = 866.4
- total magnetization (μB/f.u.) = 1.9
- energy relative to the elements, uncorrected (eV/atom) = 1.746

Cell: 4.276 4.276 6.530 Å, 90.00 90.00 90.00°
Fractional positions:
I (0.000, 0.000, 0.500)
N (0.000, 0.500, 0.000)
N (0.500, 0.000, 0.000)
Mn (0.500, 0.500, 0.500)
Cd (0.000, 0.000, 0.000)

***

(20)
Entry from Alexandria: TlCd3 after structural relaxation (PBE).

- calculated volume (Å³ per atom) = 25.571
- symmetry = Pmmn, No. 59
- energy of formation (eV/atom) = 0.04
- total magnetization (μB/f.u.) = 0.0

Cell: 5.027 6.560 6.203 Å, 90.00 90.00 90.00°
Fractional positions:
Cd (0.500, 0.724, 0.000)
Cd (0.000, 0.276, 0.500)
Cd (0.000, 0.856, 0.256)
Cd (0.000, 0.856, 0.744)
Cd (0.500, 0.144, 0.756)
Cd (0.500, 0.144, 0.244)
Tl (0.000, 0.397, 0.000)
Tl (0.500, 0.603, 0.500)